No. 1
# K3Ho3SbTe8

An optimized crystal structure of K3Ho3SbTe8 (GGA-PBE, Alexandria).

POSCAR file:
```
K3Ho3SbTe8
1.0
7.6557 -4.4098 0.0000
7.6557 4.4098 0.0000
-5.1149 0.0000 8.4255
K Ho Sb Te
3 3 1 8
Direct
0.0000 0.0000 0.0000 K
0.0000 0.5000 0.0000 K
0.5000 0.0000 0.0000 K
0.0000 0.5000 0.5000 Ho
0.5000 0.0000 0.5000 Ho
0.5000 0.5000 0.5000 Ho
0.0000 0.0000 0.5000 Sb
0.2343 0.2343 0.7042 Te
0.2343 0.7358 0.7040 Te
0.2639 0.2639 0.2919 Te
0.2642 0.7657 0.2960 Te
0.7358 0.2343 0.7040 Te
0.7361 0.7361 0.7081 Te
0.7657 0.2642 0.2960 Te
0.7657 0.7657 0.2958 Te
```

Computed properties:
E ... -62.71 eV per formula unit
Calculated density ... 5.1 g cm⁻³
Fermi-level density of states ... 0.41 states/eV per atom
Energy relative to the elements, uncorrected ... -1586 kJ/mol of formula units

=====

No. 2
# KTcBi3

An optimized crystal structure of KTcBi3 (GGA-PBE, Alexandria).

POSCAR file:
```
KTcBi3
1.0
5.7423 0.0000 0.0000
0.0000 5.7423 0.0000
0.0000 0.0000 5.7423
K Tc Bi
1 1 3
Direct
0.0000 0.0000 0.0000 K
0.5000 0.5000 0.5000 Tc
0.0000 0.0000 0.5000 Bi
0.0000 0.5000 0.0000 Bi
0.5000 0.0000 0.0000 Bi
```

Computed properties:
E_form ... 2.13 eV per atom
E ... -12.46 eV per formula unit
Polymorph energy (0 for the lowest one) ... 175.8 kJ per mole of atoms
Calculated density ... 6.7 g cm⁻³
Fermi-level density of states ... 1.70 states/eV per atom